No. 1
This record from Alexandria via LeMat-Bulk describes a crystal of SrAuO2 relaxed with PBEsol. The functional is SCAN.

Results
- Final energy: -221.65 eV per cell
- Density of states at the Fermi level: 0.0 states/eV/cell
- Magnetization: 0.00 μB/f.u.

POSCAR file:
```
SrAuO2
1.0
3.5280 -4.8938 0.0000
3.5280 4.8938 0.0000
-0.0027 0.0000 3.6038
Sr Au O
2 2 4
direct
0.0000 0.5000 0.0000
0.5000 0.0000 0.0000
0.0000 0.0000 0.5000
0.5000 0.5000 0.5000
0.2069 0.7931 0.5000
0.2515 0.2515 0.2256
0.7485 0.7485 0.7744
0.7931 0.2069 0.5000
```

***

No. 2
This record from Alexandria via LeMat-Bulk describes a crystal of FeReIr2 relaxed with PBEsol. The functional is SCAN.

Results
- Density of states at the Fermi level: 3.2 states/eV/cell
- Energy above the lowest structure with this stoichiometry: 0.0304 eV/atom
- Energy relative to the elements: -0.80 eV/f.u.
- Magnetization: 2.25 μB/f.u.

POSCAR file:
```
FeReIr2
1.0
2.6979 0.0000 0.0000
0.0000 4.2389 0.0000
0.0000 0.0000 4.6822
Fe Re Ir
1 1 2
direct
0.0000 0.0000 0.0000
0.0000 0.5000 0.3219
0.5000 0.0000 0.4973
0.5000 0.5000 0.8423
```

***

No. 3
This record from Alexandria via LeMat-Bulk describes a crystal of LiReOs relaxed with PBEsol. The functional is SCAN.

Results
- Density of states at the Fermi level: 2.3 states/eV/cell
- Energy relative to the elements: 0.32 eV/f.u.
- Magnetization: 0.00 μB/f.u.

POSCAR file:
```
LiReOs
1.0
4.2171 0.0000 0.0000
-2.1085 3.6521 0.0000
0.0000 0.0000 2.6101
Li Re Os
1 1 1
direct
0.0000 0.0000 0.0000
0.3333 0.6667 0.6380
0.6667 0.3333 0.3493
```

***

No. 4
This record from Alexandria via LeMat-Bulk describes a crystal of LiFe2Pb relaxed with PBEsol. The functional is SCAN.

Results
- Density of states at the Fermi level: 3.2 states/eV/cell
- Energy relative to the elements: 1.37 eV/f.u.
- Magnetization: 5.56 μB/f.u.

POSCAR file:
```
LiFe2Pb
1.0
2.8785 0.0000 0.0000
0.0000 4.5313 0.0000
-0.2854 0.0000 4.6752
Li Fe Pb
1 2 1
direct
0.0000 0.0000 0.0000
0.2600 0.5000 0.7867
0.7400 0.5000 0.2133
0.5000 0.0000 0.5000
```

***

No. 5
This record from Alexandria via LeMat-Bulk describes a crystal of MgSi2Ag relaxed with PBEsol. The functional is SCAN.

Results
- Final energy: -55.52 eV per cell
- Density of states at the Fermi level: 1.3 states/eV/cell
- Magnetization: 0.00 μB/f.u.

POSCAR file:
```
MgSi2Ag
1.0
2.8006 0.0000 0.0000
0.0000 4.4702 0.0000
0.0000 0.0000 5.2476
Mg Si Ag
1 2 1
direct
0.0000 0.0000 0.0000
0.5000 0.0000 0.5103
0.5000 0.5000 0.7454
0.5000 0.5000 0.2351
```

***

No. 6
This record from Alexandria via LeMat-Bulk describes a crystal of MgPIr2Pd relaxed with PBEsol. The functional is SCAN.

Results
- Density of states at the Fermi level: 3.1 states/eV/cell
- Energy relative to the elements: 8.65 eV/f.u.
- Magnetization: 1.38 μB/f.u.

POSCAR file:
```
MgPIr2Pd
1.0
4.4729 0.0000 0.0000
0.0000 4.4729 0.0000
0.0000 0.0000 4.3876
Mg P Ir Pd
1 1 2 1
direct
0.0000 0.0000 0.0000
0.0000 0.0000 0.5000
0.0000 0.5000 0.0000
0.5000 0.0000 0.0000
0.5000 0.5000 0.5000
```

***

No. 7
This record from Alexandria via LeMat-Bulk describes a crystal of BaAgSb2Te relaxed with PBEsol. The functional is SCAN.

Results
- Final energy: -177.53 eV per cell
- Density of states at the Fermi level: 5.3 states/eV/cell
- Magnetization: 0.77 μB/f.u.

POSCAR file:
```
BaAgSb2Te
1.0
6.1276 0.0000 0.0000
0.0000 6.1276 0.0000
0.0000 0.0000 6.2143
Ba Ag Sb Te
1 1 2 1
direct
0.0000 0.0000 0.0000
0.5000 0.5000 0.5000
0.0000 0.5000 0.0000
0.5000 0.0000 0.0000
0.0000 0.0000 0.5000
```

***

No. 8
This record from Alexandria via LeMat-Bulk describes a crystal of AlTcRu relaxed with PBEsol. The functional is SCAN.

Results
- Density of states at the Fermi level: 1.2 states/eV/cell
- Energy above the lowest structure with this stoichiometry: 0.5448 eV/atom
- Energy relative to the elements: 0.11 eV/f.u.
- Magnetization: 0.00 μB/f.u.

POSCAR file:
```
AlTcRu
1.0
0.0000 2.8899 2.8899
2.8899 0.0000 2.8899
2.8899 2.8899 0.0000
Al Tc Ru
1 1 1
direct
0.0000 0.0000 0.0000
0.7500 0.7500 0.7500
0.5000 0.5000 0.5000
```

***

No. 9
This record from Alexandria via LeMat-Bulk describes a crystal of ZnReBr2 relaxed with PBEsol. The functional is SCAN.

Results
- Density of states at the Fermi level: 2.1 states/eV/cell
- Energy above the lowest structure with this stoichiometry: 0.0000 eV/atom
- Magnetization: 0.60 μB/f.u.

POSCAR file:
```
ZnReBr2
1.0
-1.5440 2.1234 6.8143
1.5440 -2.1234 6.8143
1.5440 2.1234 -6.8143
Zn Re Br
1 1 2
direct
0.0000 0.0000 0.0000
0.5000 0.5000 0.0000
0.3494 0.8494 0.5000
0.6506 0.1506 0.5000
```

***

No. 10
This record from Alexandria via LeMat-Bulk describes a crystal of Mn4CoAg relaxed with PBEsol. The functional is SCAN.

Results
- Density of states at the Fermi level: 4.6 states/eV/cell
- Energy relative to the elements: 2.89 eV/f.u.
- Magnetization: 6.29 μB/f.u.

POSCAR file:
```
Mn4CoAg
1.0
0.0000 3.2803 3.2803
3.2803 0.0000 3.2803
3.2803 3.2803 0.0000
Mn Co Ag
4 1 1
direct
0.1250 0.1250 0.1250
0.1250 0.1250 0.6249
0.1250 0.6249 0.1250
0.6249 0.1250 0.1250
0.7500 0.7500 0.7500
0.5000 0.5000 0.5000
```

***

No. 11
This record from Alexandria via LeMat-Bulk describes a crystal of YBe3 relaxed with PBEsol. The functional is SCAN.

Results
- Density of states at the Fermi level: 3.8 states/eV/cell
- Energy above the lowest structure with this stoichiometry: 0.0095 eV/atom
- Energy relative to the elements: -0.31 eV/f.u.
- Magnetization: 0.55 μB/f.u.

POSCAR file:
```
YBe3
1.0
3.6599 0.0000 0.0000
0.0000 5.8189 0.0000
0.0000 0.0000 5.2088
Y Be
2 6
direct
0.2500 0.2500 0.1150
0.7500 0.7500 0.8850
0.2500 0.0556 0.6019
0.2500 0.4444 0.6019
0.2500 0.7500 0.3648
0.7500 0.2500 0.6352
0.7500 0.5556 0.3981
0.7500 0.9444 0.3981
```

***

No. 12
This record from Alexandria via LeMat-Bulk describes a crystal of Zr5Zn relaxed with PBEsol. The functional is SCAN.

Results
- Density of states at the Fermi level: 6.0 states/eV/cell
- Energy above the lowest structure with this stoichiometry: 0.0000 eV/atom
- Energy relative to the elements: -0.38 eV/f.u.
- Magnetization: 0.00 μB/f.u.

POSCAR file:
```
Zr5Zn
1.0
5.0259 -1.9863 0.0000
5.0259 1.9863 0.0000
-2.2211 0.0000 6.1486
Zr Zn
5 1
direct
0.0000 0.0000 0.0000
0.3340 0.3340 0.1762
0.3418 0.3418 0.6531
0.6582 0.6582 0.3469
0.6660 0.6660 0.8238
0.0000 0.0000 0.5000
```

***

No. 13
This record from Alexandria via LeMat-Bulk describes a crystal of RbAl2Au2 relaxed with PBEsol. The functional is SCAN.

Results
- Density of states at the Fermi level: 2.5 states/eV/cell
- Energy relative to the elements: -2.32 eV/f.u.
- Magnetization: 0.00 μB/f.u.

POSCAR file:
```
RbAl2Au2
1.0
-2.2301 2.2301 5.6734
2.2301 -2.2301 5.6734
2.2301 2.2301 -5.6734
Rb Al Au
1 2 2
direct
0.0000 0.0000 0.0000
0.2500 0.7500 0.5000
0.7500 0.2500 0.5000
0.3666 0.3666 0.0000
0.6334 0.6334 0.0000
```

***

No. 14
This record from Alexandria via LeMat-Bulk describes a crystal of SbPIr2 relaxed with PBEsol. The functional is SCAN.

Results
- Final energy: -189.51 eV per cell
- Density of states at the Fermi level: 2.9 states/eV/cell
- Magnetization: 0.00 μB/f.u.

POSCAR file:
```
SbPIr2
1.0
1.8241 1.0531 6.7115
-1.8241 1.0531 6.7115
0.0000 -2.1062 6.7115
Sb P Ir
1 1 2
direct
0.0000 0.0000 0.0000
0.1992 0.1992 0.1992
0.4974 0.4974 0.4974
0.7393 0.7393 0.7393
```